The following is a DFT calculation (PBE) of a relaxed structure of Cs3Cr2S4.

The structure in CIF format:
```
data_Cs3Cr2S4
_chemical_formula_sum 'Cs12 Cr8 S16'
_symmetry_space_group_name_H-M 'I m m a'
_symmetry_Int_Tables_number 74
_symmetry_space_group_name_Hall '-I 2b 2'
_cell_length_a 7.234
_cell_length_b 17.743
_cell_length_c 9.961
_cell_angle_alpha 90.00
_cell_angle_beta 90.00
_cell_angle_gamma 90.00
loop_
_atom_site_label
_atom_site_fract_x
_atom_site_fract_y
_atom_site_fract_z
Cs1 0.000 0.101 0.067
Cs2 0.000 0.250 0.621
Cr1 0.000 0.040 0.632
S1 0.000 0.089 0.415
S2 0.250 0.087 0.750
```

**Formation energy from raw total energies**: -757 kJ/mol of formula units
**Crystal system**: orthorhombic
**Final energy**: -5.1289 eV/atom